Version A
Material: CeScTe2
Method: DFT, PBE
State: optimized geometry

Cell: 5.318 5.318 5.318 Å, 60.00 60.00 60.00°
Sites, in units of the cell vectors:
Ce 0.000 0.000 0.000
Sc 0.500 0.500 0.500
Te 0.250 0.250 0.250
Te 0.750 0.750 0.750

Space-group type: Fm-3m (225)
ρ, g/cm3: 6.87

***

Version B
Material: CeScTe2
Method: DFT, PBE
State: optimized geometry

Cell: 7.951 7.951 7.951 Å, 30.53 30.53 30.53°
Sites, in units of the cell vectors:
Ce 0.000 0.000 0.000
Sc 0.172 0.172 0.172
Te 0.577 0.577 0.577
Te 0.761 0.761 0.761

Space-group type: R3m (160)
ρ, g/cm3: 6.36

***

Stability summary: most stable version B, least stable version A.

***

Version A
Material: CeScTe2
Method: DFT, PBE
State: optimized geometry

Cell: 5.289 5.289 3.789 Å, 90.00 90.00 90.00°
Sites, in units of the cell vectors:
Ce 0.000 0.000 0.000
Sc 0.500 0.500 0.000
Te 0.000 0.500 0.500
Te 0.500 0.000 0.500

Space-group type: P4/mmm (123)
ρ, g/cm3: 6.90

***

Version B
Material: CeScTe2
Method: DFT, PBE
State: optimized geometry

Cell: 7.621 7.621 7.621 Å, 32.64 32.64 32.64°
Sites, in units of the cell vectors:
Ce 0.000 0.000 0.000
Sc 0.500 0.500 0.500
Te 0.242 0.242 0.242
Te 0.758 0.758 0.758

Space-group type: R-3m (166)
ρ, g/cm3: 6.39

***

Stability summary: most stable version B, least stable version A.